No. 1
TcTeBr2 | GGA-PBEsol | optimized geometry

extended XYZ file:
```
4
Lattice="0.000 3.457 3.457 3.457 0.000 3.457 3.457 3.457 0.000" Properties=species:S:1:pos:R:3 pbc="T T T"
Tc 0.000 0.000 0.000
Te 1.729 1.729 1.729
Br 3.457 3.457 3.457
Br 5.186 5.186 5.186
```

Properties
**Space group**: F-43m (216)

No. 2
TlTc2Br | GGA-PBEsol | optimized geometry

extended XYZ file:
```
4
Lattice="-1.647 2.364 5.511 1.647 -2.364 5.511 1.647 2.364 -5.511" Properties=species:S:1:pos:R:3 pbc="T T T"
Tl 0.000 0.000 0.000
Tc 0.000 0.000 5.591
Tc 0.000 2.364 1.663
Br 1.647 0.000 3.094
```

Properties
**Space group**: Imm2 (44)

Here are the calculated uncorrected formation energy numbers, same order: 689 756 (meV per atom).
Here are the calculated spin magnetization numbers, same order: 1.8 0.2 (μB/cell).
Here are the calculated E above lowest polymorph numbers, same order: 562 507 (meV/atom).